#1
Li3Cu4Ni2 after structural relaxation, computed with PBE-GGA.

Cell lengths 5.600, 5.600, 5.681 Å; angles 106.70, 106.70, 38.85 degrees
Atoms (fractional coordinates):
Li  0.000  0.000  0.000
Li  0.113  0.113  0.669
Li  0.887  0.887  0.331
Cu  0.224  0.224  0.328
Cu  0.443  0.443  0.674
Cu  0.557  0.557  0.326
Cu  0.776  0.776  0.672
Ni  0.328  0.328  0.993
Ni  0.672  0.672  0.007

Summary:
The calculation puts the total magnetic moment at 0.00 μB/f.u. The calculation puts the density of states at the Fermi level at 4.20 states/eV/f.u. Its density is 6.12 Mg/m³. The calculation puts the volume at 106.4 Å³/f.u.

=====

#2
Li3Cu4Ni2 after structural relaxation, computed with PBE-GGA.

Cell lengths 4.914, 7.108, 7.336 Å; angles 117.94, 107.78, 91.84 degrees
Atoms (fractional coordinates):
Li  0.063  0.334  0.162
Li  0.246  0.997  0.496
Li  0.436  0.665  0.839
Li  0.564  0.335  0.161
Li  0.754  0.003  0.504
Li  0.937  0.666  0.838
Cu  0.247  0.667  0.173
Cu  0.248  0.326  0.822
Cu  0.386  0.332  0.492
Cu  0.437  0.002  0.166
Cu  0.563  0.998  0.834
Cu  0.614  0.668  0.508
Cu  0.752  0.674  0.178
Cu  0.753  0.333  0.827
Ni  0.062  0.994  0.833
Ni  0.113  0.667  0.511
Ni  0.887  0.333  0.489
Ni  0.938  0.006  0.167

Summary:
The calculation puts the total magnetic moment at 0.00 μB/f.u. The calculation puts the density of states at the Fermi level at 5.21 states/eV/f.u. Its density is 6.18 Mg/m³. The calculation puts the volume at 105.4 Å³/f.u.

=====

Verdict on stability: #1 comes out at the bottom.

=====

#1
Li2CuO2 after structural relaxation, computed with PBE-GGA.

Cell lengths 3.548, 3.548, 5.321 Å; angles 102.45, 102.45, 47.49 degrees
Atoms (fractional coordinates):
Li  0.173  0.173  0.146
Li  0.827  0.827  0.854
Cu  0.500  0.500  0.500
O  0.105  0.105  0.757
O  0.895  0.895  0.243

Summary:
The calculation puts the total magnetic moment at 0.92 μB/f.u. The calculation puts the density of states at the Fermi level at 0.62 states/eV/f.u. Its density is 3.79 Mg/m³. The calculation puts the volume at 48.0 Å³/f.u.

=====

#2
Li2CuO2 after structural relaxation, computed with PBE-GGA.

Cell lengths 5.233, 5.233, 5.233 Å; angles 147.77, 138.19, 53.75 degrees
Atoms (fractional coordinates):
Li  0.208  0.208  0.000
Li  0.792  0.792  0.000
Cu  0.500  0.500  0.000
O  0.356  0.856  0.500
O  0.644  0.144  0.500

Summary:
The calculation puts the total magnetic moment at 0.99 μB/f.u. The calculation puts the density of states at the Fermi level at 0.49 states/eV/f.u. Its density is 3.59 Mg/m³. The calculation puts the volume at 50.6 Å³/f.u.

=====

#3
Li2CuO2 after structural relaxation, computed with PBE-GGA.

Cell lengths 5.397, 5.397, 6.955 Å; angles 119.61, 119.61, 39.46 degrees
Atoms (fractional coordinates):
Li  0.028  0.028  0.201
Li  0.327  0.327  0.990
Li  0.673  0.673  0.010
Li  0.972  0.972  0.799
Cu  0.353  0.353  0.390
Cu  0.647  0.647  0.610
O  0.178  0.178  0.106
O  0.489  0.489  0.694
O  0.511  0.511  0.306
O  0.822  0.822  0.894

Summary:
The calculation puts the total magnetic moment at 0.00 μB/f.u. The calculation puts the density of states at the Fermi level at 0.71 states/eV/f.u. Its density is 3.32 Mg/m³. The calculation puts the volume at 54.8 Å³/f.u.

=====

Verdict on stability: #3 comes out at the bottom.